An optimized crystal structure of As2WBrO, computed with GGA+U.

The calculation puts the total magnetization at 1.7 Bohr magnetons per cell. The total energy comes out at -3.658 eV/atom.

The space group is P4/mmm (No. 123) and the conventional cell measures 4.997, 4.997 and 5.336 Å, with angles of 90.00, 90.00 and 90.00 degrees. The asymmetric unit holds As at (0.000, 0.500, 0.000), W at (0.000, 0.000, 0.000), Br at (0.000, 0.000, 0.500) and O at (0.500, 0.500, 0.500).